Density functional theory data (PBE-GGA) for a relaxed Tb12Al3In crystal.

abc: 4.7965 4.7965 19.1986
angles: 90.00 90.00 90.00
Sites, in units of the cell vectors:
Tb: 0.0000 0.0000 0.0000
Tb: 0.0000 0.0000 0.2476
Tb: 0.0000 0.0000 0.5000
Tb: 0.0000 0.0000 0.7524
Tb: 0.0000 0.5000 0.1241
Tb: 0.0000 0.5000 0.3707
Tb: 0.0000 0.5000 0.6293
Tb: 0.0000 0.5000 0.8759
Tb: 0.5000 0.0000 0.1241
Tb: 0.5000 0.0000 0.3707
Tb: 0.5000 0.0000 0.6293
Tb: 0.5000 0.0000 0.8759
Al: 0.5000 0.5000 0.0000
Al: 0.5000 0.5000 0.2483
Al: 0.5000 0.5000 0.7517
In: 0.5000 0.5000 0.5000

SG: P4/mmm, No. 123
D(E_F), states/eV/atom: 1.4546
Total moment, Bohr magnetons per cell: 0.00
Calculated formation energy, eV/atom: -0.206